[1]
Compound: BaTe2Cl
Source: the Alexandria database
Functional: meta-GGA SCAN
Structure: PBEsol geometry

a = 4.387 Å, b = 4.388 Å, c = 6.236 Å
α = 90.00°, β = 90.00°, γ = 90.00°
Sites, in units of the cell vectors:
Ba  0.000  0.374  0.500
Te  0.500  0.376  0.000
Te  0.000  0.876  0.000
Cl  0.500  0.874  0.500

Summary:
D(E_F)   0.595 states/eV/cell
ΔE_f (raw)   -1.56 eV/atom
Calculated total energy   -32.06 eV per atom
Relative energy among the computed polymorphs   3.1 meV per atom
Magnetic moment   0.0 μB/f.u.
Density   5.92 g/cm3

[2]
Compound: BaTe2Cl
Source: the Alexandria database
Functional: meta-GGA SCAN
Structure: PBEsol geometry

a = 4.392 Å, b = 4.392 Å, c = 6.936 Å
α = 108.46°, β = 108.46°, γ = 90.00°
Sites, in units of the cell vectors:
Ba  0.500  0.500  0.000
Cl  0.000  0.000  0.000
Te  0.750  0.250  0.500
Te  0.250  0.750  0.500

Summary:
D(E_F)   0.686 states/eV/cell
ΔE_f (raw)   -1.56 eV/atom
Calculated total energy   -32.07 eV per atom
Relative energy among the computed polymorphs   0.0 meV per atom
Magnetic moment   0.0 μB/f.u.
Density   5.94 g/cm3

[3]
Compound: BaTeCl2
Source: the Alexandria database
Functional: meta-GGA SCAN
Structure: PBEsol geometry

a = 4.359 Å, b = 4.359 Å, c = 6.642 Å
α = 109.15°, β = 109.15°, γ = 90.00°
Sites, in units of the cell vectors:
Cl  0.750  0.250  0.500
Cl  0.000  0.000  0.000
Ba  0.250  0.750  0.500
Te  0.500  0.500  0.000

Summary:
D(E_F)   1.250 states/eV/cell
ΔE_f (raw)   -1.53 eV/atom
Calculated total energy   -24.72 eV per atom
Magnetic moment   0.0 μB/f.u.
Density   4.99 g/cm3

[4]
Compound: Ba2TlCl
Source: the Alexandria database
Functional: meta-GGA SCAN
Structure: PBEsol geometry

a = 4.010 Å, b = 6.137 Å, c = 6.137 Å
α = 90.00°, β = 90.00°, γ = 90.00°
Sites, in units of the cell vectors:
Tl  0.500  0.000  0.000
Cl  0.000  0.500  0.500
Ba  0.000  0.000  0.500
Ba  0.000  0.500  0.000

Summary:
D(E_F)   2.064 states/eV/cell
ΔE_f (raw)   -1.31 eV/atom
Calculated total energy   -41.17 eV per atom
Relative energy among the computed polymorphs   13.1 meV per atom
Magnetic moment   0.0 μB/f.u.
Density   5.66 g/cm3